Entry 1:
Compound: Li6HgGe2
Source: Alexandria via LeMat-Bulk
Functional: PBE
Structure: relaxed

Cell lengths 7.6612, 7.6612, 2.8203 Å; angles 90.33, 90.33, 60.27 degrees
Sites, in units of the cell vectors:
Li 0.1582 0.5002 0.9968
Li 0.1580 0.8420 0.0000
Li 0.5002 0.1582 0.9968
Li 0.4998 0.8418 0.0032
Li 0.8420 0.1580 0.0000
Li 0.8418 0.4998 0.0032
Hg 0.5000 0.5000 0.5000
Ge 0.1669 0.1669 0.4995
Ge 0.8331 0.8331 0.5005

Properties
- ΔH_f (0 K): -295 meV per atom

Entry 2:
Compound: Ca3MnW
Source: Alexandria via LeMat-Bulk
Functional: PBE
Structure: relaxed

Cell lengths 5.5678, 5.5678, 5.5678 Å; angles 90.00, 90.00, 90.00 degrees
Sites, in units of the cell vectors:
Ca 0.0000 0.0000 0.5000
Ca 0.0000 0.5000 0.0000
Ca 0.5000 0.0000 0.0000
Mn 0.5000 0.5000 0.5000
W 0.0000 0.0000 0.0000

Properties
- Offset from the most stable computed form: 0 meV per atom
- ΔH_f (0 K): 1326 meV per atom

Entry 3:
Compound: Ti3BiO
Source: Alexandria via LeMat-Bulk
Functional: PBE
Structure: relaxed

Cell lengths 3.2780, 7.8888, 7.0574 Å; angles 90.00, 90.00, 90.00 degrees
Sites, in units of the cell vectors:
Ti 0.2500 0.0460 0.2289
Ti 0.2500 0.4540 0.2289
Ti 0.2500 0.7500 0.4680
Ti 0.7500 0.2500 0.5320
Ti 0.7500 0.5460 0.7711
Ti 0.7500 0.9540 0.7711
Bi 0.2500 0.2500 0.8899
Bi 0.7500 0.7500 0.1101
O 0.2500 0.2500 0.3853
O 0.7500 0.7500 0.6147

Properties
- Uncorrected formation energy: -872 meV per atom
- Offset from the most stable computed form: 91 meV per atom

Entry 4:
Compound: Mn2ReRu
Source: Alexandria via LeMat-Bulk
Functional: PBE
Structure: relaxed

Cell lengths 6.4110, 6.4110, 6.4110 Å; angles 131.15, 131.15, 71.57 degrees
Sites, in units of the cell vectors:
Mn 0.1178 0.6250 0.9928
Mn 0.3750 0.3678 0.4928
Mn 0.6322 0.1250 0.0072
Mn 0.8750 0.8822 0.5072
Re 0.2500 0.7500 0.5000
Re 0.5000 0.5000 0.0000
Ru 0.0000 0.0000 0.0000
Ru 0.7500 0.2500 0.5000

Properties
- ΔH_f (0 K): 1401 meV per atom

Entry 5:
Compound: PtRhPb3
Source: Alexandria via LeMat-Bulk
Functional: PBE
Structure: relaxed

Cell lengths 3.5310, 8.2483, 9.4048 Å; angles 104.46, 100.68, 102.28 degrees
Sites, in units of the cell vectors:
Pt 0.1333 0.1243 0.1399
Pt 0.8667 0.8757 0.8601
Rh 0.0374 0.7510 0.3157
Rh 0.9626 0.2490 0.6843
Pb 0.2878 0.1399 0.4390
Pb 0.3828 0.4788 0.2737
Pb 0.4502 0.8129 0.0872
Pb 0.5498 0.1871 0.9128
Pb 0.6172 0.5212 0.7263
Pb 0.7122 0.8601 0.5610

Properties
- Offset from the most stable computed form: 73 meV per atom
- ΔH_f (0 K): 1 meV per atom

Entry 6:
Compound: Zr2ScRh
Source: Alexandria via LeMat-Bulk
Functional: PBE
Structure: relaxed

Cell lengths 3.2135, 4.4724, 5.8565 Å; angles 90.00, 105.21, 90.00 degrees
Sites, in units of the cell vectors:
Zr 0.0000 0.0000 0.0000
Zr 0.4055 0.5000 0.7319
Sc 0.8157 0.0000 0.4629
Rh 0.4068 0.5000 0.2327

Properties
- ΔH_f (0 K): -307 meV per atom